Mg2ZnS | GGA-PBE | optimized geometry

formation energy (no corrections): -399 meV per atom
total energy: -2.547 eV per atom
relative energy among the computed polymorphs: 0 meV per atom

a b c (Å): 7.100 7.100 6.737
angles (deg): 90.00 90.00 90.00
Space group I-42d (No. 122)
One atom of each set of equivalent atoms:
1 Mg 0.213 0.750 0.125 x8
2 Zn 0.000 0.000 0.500 x4
3 S 0.000 0.000 0.000 x4